No. 1
First-principles (PBE-GGA) data for ZnGa2Pb2Au7 after structural relaxation, as listed in the Alexandria database.

Cell lengths 4.2315, 4.2315, 14.0434 Å; angles 95.33, 95.33, 86.17 degrees
Positions (direct):
Zn 0.0000 0.0000 0.0000
Ga 0.4281 0.4281 0.7437
Ga 0.5719 0.5719 0.2563
Pb 0.0990 0.0990 0.3589
Pb 0.9010 0.9010 0.6411
Au 0.0403 0.5402 0.1428
Au 0.3356 0.3356 0.5595
Au 0.4598 0.9597 0.8572
Au 0.5000 0.5000 0.0000
Au 0.5402 0.0403 0.1428
Au 0.6644 0.6644 0.4405
Au 0.9597 0.4598 0.8572

Computed properties:
calculated density	13.3	g/cm3
energy relative to the elements	-0.093	eV per atom
total magnetic moment	0.00	μB per cell



No. 2
First-principles (PBE-GGA) data for KYSbW2 after structural relaxation, as listed in the Alexandria database.

Cell lengths 5.0457, 5.0457, 5.6184 Å; angles 90.00, 90.00, 90.00 degrees
Positions (direct):
K 0.0000 0.0000 0.0000
Y 0.5000 0.5000 0.0000
Sb 0.0000 0.0000 0.5000
W 0.0000 0.5000 0.5000
W 0.5000 0.0000 0.5000

Computed properties:
calculated density	7.2	g/cm3
ΔE_f (raw)	8.5	eV/f.u.
total magnetic moment	0.00	μB per cell



No. 3
First-principles (PBE-GGA) data for Nd3TmPa3N8 after structural relaxation, as listed in the Alexandria database.

Cell lengths 7.1006, 7.1006, 7.1006 Å; angles 59.41, 59.41, 59.41 degrees
Positions (direct):
Nd 0.0000 0.5000 0.5000
Nd 0.5000 0.0000 0.5000
Nd 0.5000 0.5000 0.0000
Tm 0.5000 0.5000 0.5000
Pa 0.0000 0.0000 0.5000
Pa 0.0000 0.5000 0.0000
Pa 0.5000 0.0000 0.0000
N 0.2334 0.7340 0.7340
N 0.2402 0.2402 0.2402
N 0.2660 0.2660 0.7666
N 0.2660 0.7666 0.2660
N 0.7340 0.2334 0.7340
N 0.7340 0.7340 0.2334
N 0.7598 0.7598 0.7598
N 0.7666 0.2660 0.2660

Computed properties:
calculated density	9.4	g/cm3
ΔE_f (raw)	-22.1	eV/f.u.
total magnetic moment	0.00	μB per cell



No. 4
First-principles (PBE-GGA) data for CaAcPtAu after structural relaxation, as listed in the Alexandria database.

Cell lengths 7.4513, 7.4513, 7.4513 Å; angles 90.00, 90.00, 90.00 degrees
Positions (direct):
Ca 0.0000 0.0000 0.0000
Ca 0.0000 0.5000 0.5000
Ca 0.5000 0.0000 0.5000
Ca 0.5000 0.5000 0.0000
Ac 0.0000 0.0000 0.5000
Ac 0.0000 0.5000 0.0000
Ac 0.5000 0.0000 0.0000
Ac 0.5000 0.5000 0.5000
Pt 0.2500 0.2500 0.2500
Pt 0.2500 0.7500 0.7500
Pt 0.7500 0.2500 0.7500
Pt 0.7500 0.7500 0.2500
Au 0.2500 0.2500 0.7500
Au 0.2500 0.7500 0.2500
Au 0.7500 0.2500 0.2500
Au 0.7500 0.7500 0.7500

Computed properties:
ΔE to the lowest computed polymorph	87.0	meV/atom
calculated density	10.6	g/cm3
energy relative to the elements	-0.875	eV per atom
total magnetic moment	0.00	μB per cell



No. 5
First-principles (PBE-GGA) data for MgCrCd2 after structural relaxation, as listed in the Alexandria database.

Cell lengths 9.7919, 3.1423, 5.3711 Å; angles 90.00, 100.41, 90.00 degrees
Positions (direct):
Mg 0.0000 0.0000 0.0000
Mg 0.5000 0.5000 0.0000
Cr 0.0000 0.5000 0.5000
Cr 0.5000 0.0000 0.5000
Cd 0.2450 0.0000 0.7410
Cd 0.2550 0.5000 0.2590
Cd 0.7450 0.5000 0.7410
Cd 0.7550 0.0000 0.2590

Computed properties:
calculated density	6.2	g/cm3
energy relative to the elements	0.230	eV per atom
total magnetic moment	8.04	μB per cell



No. 6
First-principles (PBE-GGA) data for Ta4SiAg after structural relaxation, as listed in the Alexandria database.

Cell lengths 5.4412, 5.4412, 5.4412 Å; angles 60.00, 60.00, 60.00 degrees
Positions (direct):
Ta 0.1253 0.1253 0.1253
Ta 0.1253 0.1253 0.6241
Ta 0.1253 0.6241 0.1253
Ta 0.6241 0.1253 0.1253
Si 0.5000 0.5000 0.5000
Ag 0.7500 0.7500 0.7500

Computed properties:
calculated density	12.5	g/cm3
ΔE_f (raw)	3.9	eV/f.u.
total magnetic moment	0.00	μB per cell



> Among the records above, which one has the lowest calculated density?

MgCrCd2